Entry 1:
# Tb3Dy6Cd

Crystalline Tb3Dy6Cd at its relaxed geometry (PBE-GGA, Alexandria).

E_form: -0.02 eV per atom
VASP energy: -4.26 eV/atom
total magnetization: 0.00 μB/cell
relative energy among the computed polymorphs: 0.0 meV/atom

Lattice parameters (Å, degrees): 5.0107 10.9368 11.1795 91.64 90.00 90.00
Last column: nearest neighbours and their distance in Å.
Sites, in units of the cell vectors:
Dy1 0.7500 0.8472 0.8107  8 Dy 3.41-3.51, 2 Tb 3.52, 2 Cd 3.56
Dy2 0.2500 0.6544 0.7023  1 Cd 3.39, 6 Dy 3.47-3.56, 5 Tb 3.51-3.56
Dy3 0.2500 0.4488 0.1019  5 Dy 3.41-3.59, 7 Tb 3.50-3.61
Dy4 0.7500 0.5512 0.8981  5 Dy 3.41-3.59, 7 Tb 3.50-3.61
Dy5 0.2500 0.8635 0.3166  3 Cd 3.35-3.37, 5 Dy 3.48-3.61, 4 Tb 3.56-3.62
Dy6 0.2500 0.2343 0.4929  3 Cd 3.37-3.44, 5 Dy 3.48-3.56, 4 Tb 3.53-3.65
Dy7 0.7500 0.9538 0.1043  1 Cd 3.36, 7 Dy 3.44-3.61, 4 Tb 3.48-3.51
Dy8 0.7500 0.1365 0.6834  3 Cd 3.35-3.37, 5 Dy 3.48-3.61, 4 Tb 3.56-3.62
Dy9 0.2500 0.0462 0.8957  1 Cd 3.36, 7 Dy 3.44-3.61, 4 Tb 3.48-3.51
Dy10 0.7500 0.7657 0.5071  3 Cd 3.37-3.44, 5 Dy 3.48-3.56, 4 Tb 3.53-3.65
Dy11 0.2500 0.1528 0.1893  8 Dy 3.41-3.51, 2 Tb 3.52, 2 Cd 3.56
Dy12 0.7500 0.3456 0.2977  1 Cd 3.39, 6 Dy 3.47-3.56, 5 Tb 3.51-3.56
Cd1 0.2500 0.9464 0.6090  10 Dy 3.35-3.56, 2 Cd 3.71
Cd2 0.7500 0.0536 0.3910  10 Dy 3.35-3.56, 2 Cd 3.71
Tb1 0.2500 0.7529 0.0087  10 Dy 3.48-3.62, 2 Tb 3.54
Tb2 0.7500 0.4480 0.5985  8 Dy 3.50-3.65, 4 Tb 3.51-3.55
Tb3 0.2500 0.3459 0.7919  8 Dy 3.51-3.61, 4 Tb 3.51-3.54
Tb4 0.7500 0.2471 0.9913  10 Dy 3.48-3.62, 2 Tb 3.54
Tb5 0.2500 0.5520 0.4015  8 Dy 3.50-3.65, 4 Tb 3.51-3.55
Tb6 0.7500 0.6541 0.2081  8 Dy 3.51-3.61, 4 Tb 3.51-3.54

=====

Entry 2:
# Li2TcW

Crystalline Li2TcW at its relaxed geometry (PBE-GGA, Alexandria).

E_form: 0.32 eV per atom
VASP energy: -6.46 eV/atom
total magnetization: 0.00 μB/cell
relative energy among the computed polymorphs: 108.8 meV/atom

Lattice parameters (Å, degrees): 3.1409 3.1409 6.3294 90.00 90.00 90.00
Last column: nearest neighbours and their distance in Å.
Sites, in units of the cell vectors:
Li1 0.0000 0.0000 0.0038  4 Li 2.71, 4 W 2.85, 1 Tc 3.04
Li2 0.5000 0.5000 0.2504  4 Li 2.71, 4 Tc 2.82, 1 W 2.98
Tc1 0.0000 0.0000 0.5239  4 W 2.55, 4 Li 2.82
W1 0.5000 0.5000 0.7219  4 Tc 2.55, 4 Li 2.85

=====

Entry 3:
# K2RuS4

Crystalline K2RuS4 at its relaxed geometry (PBE-GGA, Alexandria).

VASP energy: -4.33 eV/atom
formation energy without anion corrections: -32 kJ per mole of atoms
total magnetization: 4.71 μB/cell

Lattice parameters (Å, degrees): 4.8283 4.8283 8.6216 73.74 73.74 90.00
Last column: nearest neighbours and their distance in Å.
Sites, in units of the cell vectors:
K1 0.6456 0.6456 0.7088  9 S 3.28-3.41
K2 0.3544 0.3544 0.2912  9 S 3.28-3.41
S1 0.8527 0.8527 0.2947  1 Ru 2.33
S2 0.5000 0.0000 0.0000  2 Ru 2.41
S3 0.0000 0.5000 0.0000  2 Ru 2.41
S4 0.1473 0.1473 0.7053  1 Ru 2.33
Ru1 0.0000 0.0000 0.0000  6 S 2.33-2.41

=====

Entry 4:
# NaTlV2Br8

Crystalline NaTlV2Br8 at its relaxed geometry (PBE-GGA, Alexandria).

VASP energy: -3.85 eV/atom
formation energy without anion corrections: -88 kJ per mole of atoms
total magnetization: 4.00 μB/cell

Lattice parameters (Å, degrees): 6.9760 6.9760 10.7294 71.03 71.03 60.00
Last column: nearest neighbours and their distance in Å.
Sites, in units of the cell vectors:
Br1 0.5885 0.2929 0.1845  1 V 2.39
Br2 0.9341 0.5885 0.1845  1 V 2.39
Br3 0.7071 0.0659 0.8155  1 V 2.39
Br4 0.1691 0.1691 0.4927  1 V 2.37
Br5 0.8309 0.8309 0.5073  1 V 2.37
Br6 0.0659 0.4115 0.8155  1 V 2.39
Br7 0.2929 0.9341 0.1845  1 V 2.39
Br8 0.4115 0.7071 0.8155  1 V 2.39
Na1 0.0000 0.0000 0.0000  6 Br 3.07
V1 0.2485 0.2485 0.2545  4 Br 2.37-2.39
V2 0.7515 0.7515 0.7455  4 Br 2.37-2.39
Tl1 0.5000 0.5000 0.5000  12 Br 3.85-4.03

=====

Entry 5:
# CaInNiPd

Crystalline CaInNiPd at its relaxed geometry (PBE-GGA, Alexandria).

E_form: -0.36 eV per atom
VASP energy: -4.29 eV/atom
total magnetization: 0.00 μB/cell

Lattice parameters (Å, degrees): 4.7196 4.7196 4.7196 60.00 60.00 60.00
Last column: nearest neighbours and their distance in Å.
Sites, in units of the cell vectors:
Ca1 0.7500 0.7500 0.7500  4 Pd 2.89, 4 Ni 2.89
Ni1 0.5000 0.5000 0.5000  4 In 2.89, 4 Ca 2.89
Pd1 0.0000 0.0000 0.0000  4 In 2.89, 4 Ca 2.89
In1 0.2500 0.2500 0.2500  4 Ni 2.89, 4 Pd 2.89

=====

Entry 6:
# Dy5Tc2I2

Crystalline Dy5Tc2I2 at its relaxed geometry (PBE-GGA, Alexandria).

VASP energy: -5.64 eV/atom
formation energy without anion corrections: -42 kJ per mole of atoms
total magnetization: 0.00 μB/cell

Lattice parameters (Å, degrees): 7.8114 7.8067 9.3553 90.00 65.32 90.00
Last column: nearest neighbours and their distance in Å.
Sites, in units of the cell vectors:
I1 0.2800 0.5000 0.4399  7 Dy 3.46-3.74
I2 0.7800 0.0000 0.4399  7 Dy 3.46-3.74
I3 0.2200 0.0000 0.5601  7 Dy 3.46-3.74
I4 0.7200 0.5000 0.5601  7 Dy 3.46-3.74
Dy1 0.5538 0.8429 0.2083  3 Tc 2.89-2.90
Dy2 0.5000 0.5000 0.0000  4 Tc 3.03-3.04
Dy3 0.9462 0.3429 0.7917  3 Tc 2.89-2.90
Dy4 0.4462 0.1571 0.7917  3 Tc 2.89-2.90
Dy5 0.7379 0.3429 0.2083  3 Tc 2.89-2.90
Dy6 0.0000 0.0000 0.0000  4 Tc 3.03-3.04
Dy7 0.2379 0.1571 0.2083  3 Tc 2.89-2.90
Dy8 0.0538 0.6571 0.2083  3 Tc 2.89-2.90
Dy9 0.7621 0.8429 0.7917  3 Tc 2.89-2.90
Dy10 0.2621 0.6571 0.7917  3 Tc 2.89-2.90
Tc1 0.3642 0.8646 0.0000  8 Dy 2.89-3.04, 1 Tc 3.00
Tc2 0.6358 0.1354 0.0000  8 Dy 2.89-3.04, 1 Tc 3.00
Tc3 0.1358 0.3646 0.0000  8 Dy 2.89-3.04, 1 Tc 3.00
Tc4 0.8642 0.6354 0.0000  8 Dy 2.89-3.04, 1 Tc 3.00

=====

Entry 7:
# Pm5Th3As8

Crystalline Pm5Th3As8 at its relaxed geometry (PBE-GGA, Alexandria).

E_form: -1.50 eV per atom
VASP energy: -6.70 eV/atom
total magnetization: 0.00 μB/cell

Lattice parameters (Å, degrees): 8.4964 8.4964 8.4839 59.95 59.95 60.00
Last column: nearest neighbours and their distance in Å.
Sites, in units of the cell vectors:
As1 0.7513 0.2500 0.7487  2 Th 2.99, 4 Pm 3.00-3.01
As2 0.7500 0.2487 0.2513  2 Th 2.99, 4 Pm 3.00-3.01
As3 0.2498 0.2498 0.2506  3 Th 3.00, 3 Pm 3.00
As4 0.2500 0.7513 0.7487  2 Th 2.99, 4 Pm 3.00-3.01
As5 0.2487 0.7500 0.2513  2 Th 2.99, 4 Pm 3.00-3.01
As6 0.7500 0.7500 0.2513  2 Th 2.99, 4 Pm 3.00-3.01
As7 0.7502 0.7502 0.7494  3 Th 3.00, 3 Pm 3.00
As8 0.2500 0.2500 0.7487  2 Th 2.99, 4 Pm 3.00-3.01
Pm1 0.5000 0.0000 0.0000  6 As 3.00-3.01
Pm2 0.0000 0.5000 0.0000  6 As 3.00-3.01
Pm3 0.5000 0.5000 0.0000  6 As 3.00-3.01
Pm4 0.5000 0.5000 0.5000  6 As 3.00
Pm5 0.0000 0.0000 0.0000  6 As 3.00
Th1 0.0000 0.0000 0.5000  6 As 2.99-3.00
Th2 0.0000 0.5000 0.5000  6 As 2.99-3.00
Th3 0.5000 0.0000 0.5000  6 As 2.99-3.00

=====

Entry 8:
# SmTmTl

Crystalline SmTmTl at its relaxed geometry (PBE-GGA, Alexandria).

E_form: -0.25 eV per atom
VASP energy: -4.11 eV/atom
total magnetization: 0.00 μB/cell
relative energy among the computed polymorphs: 0.0 meV/atom

Lattice parameters (Å, degrees): 5.4192 5.4192 6.7618 90.00 90.00 119.98
Last column: nearest neighbours and their distance in Å.
Sites, in units of the cell vectors:
Tl1 0.3332 0.1668 0.7500  5 Tm 3.13-3.38
Tl2 0.6668 0.8332 0.2500  5 Tm 3.13-3.38
Sm1 0.0000 0.5000 0.5000  2 Sm 3.38, 6 Tl 3.55-3.56, 6 Tm 3.56
Sm2 0.0000 0.5000 0.0000  2 Sm 3.38, 6 Tl 3.55-3.56, 6 Tm 3.56
Tm1 0.3334 0.1666 0.2500  5 Tl 3.13-3.38
Tm2 0.6666 0.8334 0.7500  5 Tl 3.13-3.38

=====

Entry 9:
# Sm2Co2Hg

Crystalline Sm2Co2Hg at its relaxed geometry (PBE-GGA, Alexandria).

E_form: -0.28 eV per atom
VASP energy: -5.07 eV/atom
total magnetization: 1.67 μB/cell

Lattice parameters (Å, degrees): 4.0101 3.8904 7.1751 105.73 90.00 90.00
Last column: nearest neighbours and their distance in Å.
Sites, in units of the cell vectors:
Sm1 0.5000 0.3652 0.7305  6 Co 2.94-2.98
Sm2 0.5000 0.6348 0.2695  6 Co 2.94-2.98
Co1 0.0000 0.7904 0.5808  2 Co 2.24
Co2 0.0000 0.2096 0.4192  2 Co 2.24
Hg1 0.0000 0.0000 0.0000  2 Co 2.90

=====

Entry 10:
# Cs2ZrSe

Crystalline Cs2ZrSe at its relaxed geometry (PBE-GGA, Alexandria).

VASP energy: -2.85 eV/atom
formation energy without anion corrections: 57 kJ per mole of atoms
total magnetization: 3.95 μB/cell

Lattice parameters (Å, degrees): 6.1931 6.1931 6.1931 60.00 60.00 60.00
Last column: nearest neighbours and their distance in Å.
Sites, in units of the cell vectors:
Se1 0.0000 0.0000 0.0000  8 Cs 3.79
Zr1 0.5000 0.5000 0.5000  8 Cs 3.79
Cs1 0.2500 0.2500 0.2500  4 Zr 3.79, 4 Se 3.79
Cs2 0.7500 0.7500 0.7500  4 Zr 3.79, 4 Se 3.79

=====

Entry 11:
# Be2AlNi2

Crystalline Be2AlNi2 at its relaxed geometry (PBE-GGA, Alexandria).

E_form: -0.31 eV per atom
VASP energy: -4.86 eV/atom
total magnetization: 0.00 μB/cell
relative energy among the computed polymorphs: 141.9 meV/atom

Lattice parameters (Å, degrees): 6.2801 6.2801 2.6598 90.00 90.00 90.00
Last column: nearest neighbours and their distance in Å.
Sites, in units of the cell vectors:
Be1 0.8559 0.3559 0.5000  6 Ni 2.27
Be2 0.1441 0.6441 0.5000  6 Ni 2.27
Be3 0.6441 0.8559 0.5000  6 Ni 2.27
Be4 0.3559 0.1441 0.5000  6 Ni 2.27
Ni1 0.6482 0.1482 0.0000  6 Be 2.27, 2 Al 2.40
Ni2 0.8518 0.6482 0.0000  6 Be 2.27, 2 Al 2.40
Ni3 0.3518 0.8518 0.0000  6 Be 2.27, 2 Al 2.40
Ni4 0.1482 0.3518 0.0000  6 Be 2.27, 2 Al 2.40
Al1 0.0000 0.0000 0.0000  4 Ni 2.40, 2 Al 2.66
Al2 0.5000 0.5000 0.0000  4 Ni 2.40, 2 Al 2.66

=====

Entry 12:
# Mn3SnH

Crystalline Mn3SnH at its relaxed geometry (PBE-GGA, Alexandria).

VASP energy: -6.82 eV/atom
total magnetization: 5.46 μB/cell

Lattice parameters (Å, degrees): 5.3051 7.6054 4.3857 113.34 53.69 105.87
Last column: nearest neighbours and their distance in Å.
Sites, in units of the cell vectors:
Mn1 0.6552 0.3450 0.0010  1 H 1.76
Mn2 0.6316 0.1817 0.4033  1 H 1.72
Mn3 0.0876 0.9860 0.8728  1 H 1.79
Mn4 0.6896 0.5563 0.5988  1 H 1.75
Mn5 0.1505 0.3566 0.0353  1 H 1.74
Mn6 0.1608 0.1861 0.4095  1 H 1.76
H1 0.4497 0.5151 0.0614  3 Mn 1.74-1.76
H2 0.3415 0.0158 0.3899  3 Mn 1.72-1.79
Sn1 0.1194 0.6119 0.7766  1 H 2.41, 2 Mn 2.67-2.69
Sn2 0.6649 0.9319 0.6789  1 H 2.40